The following is a GGA-PBE calculation of a relaxed AcPuZnN3 crystal, from Alexandria.

DOS(E_F) (states/eV/f.u.): 7.71
Raw total energy (eV per atom): -8.226
Spin magnetization (μB per atom): 0.667

a = 7.4734 Å, b = 3.5581 Å, c = 7.5604 Å
α = 90.00°, β = 102.36°, γ = 90.00°
Last column: nearest neighbours and their distance in Å.
Space group P2_1/m (No. 11)
Inequivalent atoms, fractional coordinates:
Ac  0.1907  0.2500  0.2184  5 N 2.59-2.80
Pu  0.3440  0.7500  0.8362  5 N 2.22-2.39
Zn  0.0955  0.2500  0.5984  4 N 2.00-2.14
N  0.1403  0.2500  0.8688  1 Zn 2.00
N  0.1944  0.7500  0.5058  3 Zn 2.10-2.14
N  0.4377  0.7500  0.1355  3 Pu 2.22-2.39